Below is a geometry-optimized Er5Mg2In5 structure, with properties calculated at the PBE level.

Properties
DOS at the Fermi energy	0.85	states/eV per atom
VASP energy	-3.64	eV/atom
theoretical density	7667	kg/m3

```
Er5Mg2In5
1.0
-1.8779 -4.6155 0.5184
2.4697 2.1390 3.7835
-13.5123 5.7534 2.2773
Mg Er In
2 5 5
direct
0.0661 0.1321 0.2056
0.9339 0.8679 0.7944
0.5000 0.0000 0.5000
0.7765 0.5531 0.3342
0.3052 0.6103 0.9120
0.2235 0.4469 0.6658
0.6948 0.3897 0.0880
0.8588 0.7176 0.5736
0.5927 0.1854 0.7717
0.1412 0.2824 0.4264
0.4073 0.8146 0.2283
0.0000 0.0000 0.0000
```